## Li2NdGaO4 (PBE)

Data for a relaxed structure of Li2NdGaO4.

Computed properties:
E_form (uncorrected)   -2.3848 eV per atom
Size of the total moment   0.00 μB/cell
Calculated total energy   -6.3167 eV per atom
N(E_F)   0.00 states/eV/f.u.

Unit cell a=5.2638 b=4.9914 c=4.9914 alpha=83.56 beta=58.18 gamma=58.18
Element x y z (fractional)
Li (0.5000, 0.7500, 0.2500)
Li (0.5000, 0.2500, 0.7500)
Nd (0.0000, 0.0000, 0.0000)
Ga (0.0000, 0.5000, 0.5000)
O (0.5789, 0.5557, 0.8655)
O (0.4211, 0.1345, 0.4443)
O (0.0000, 0.4443, 0.1345)
O (0.0000, 0.8655, 0.5557)

***

## LiNdGa4Pd2 (PBE)

Data for a relaxed structure of LiNdGa4Pd2.

Computed properties:
ΔH_f (0 K)   -632 meV/atom
Size of the total moment   0.00 μB/cell
Calculated total energy   -4.2791 eV per atom
N(E_F)   3.22 states/eV/f.u.

Unit cell a=4.3213 b=4.3213 c=9.0873 alpha=76.25 beta=76.25 gamma=60.00
Element x y z (fractional)
Li (0.5000, 0.5000, 0.5000)
Nd (0.0000, 0.0000, 0.0000)
Ga (0.4003, 0.4003, 0.7992)
Ga (0.8703, 0.8703, 0.3891)
Ga (0.1297, 0.1297, 0.6109)
Ga (0.5997, 0.5997, 0.2008)
Pd (0.7669, 0.7669, 0.6992)
Pd (0.2331, 0.2331, 0.3008)

***

## Li2NdGa4Pd (PBE)

Data for a relaxed structure of Li2NdGa4Pd.

Computed properties:
ΔH_f (0 K)   -495 meV/atom
Size of the total moment   0.00 μB/cell
Calculated total energy   -3.7324 eV per atom
N(E_F)   3.83 states/eV/f.u.

Unit cell a=4.3216 b=4.3216 c=9.2444 alpha=76.48 beta=76.48 gamma=60.00
Element x y z (fractional)
Li (0.7698, 0.7698, 0.6906)
Li (0.2302, 0.2302, 0.3094)
Nd (0.0000, 0.0000, 0.0000)
Ga (0.4023, 0.4023, 0.7931)
Ga (0.8747, 0.8747, 0.3760)
Ga (0.1253, 0.1253, 0.6240)
Ga (0.5977, 0.5977, 0.2069)
Pd (0.5000, 0.5000, 0.5000)